w) A relaxed structure of V3GeW, computed with PBE.

Cell: 4.404 4.404 4.404 Å, 90.00 90.00 90.00°
Space group Pm-3m (No. 221)
Asymmetric unit:
V1 0.000 0.000 0.500 [3 per cell]
Ge1 0.000 0.000 0.000 [1 per cell]
W1 0.500 0.500 0.500 [1 per cell]

crystal system = cubic
total magnetic moment = 0.19 μB/atom
density = 8.0 g/cm³
Fermi-level density of states = 7.4 states/eV per cell

x) A relaxed structure of V3GeW, computed with PBE.

Cell: 4.301 5.547 6.175 Å, 90.00 90.92 90.00°
Space group P2_1/m (No. 11)
Asymmetric unit:
V1 0.186 0.250 0.049 [2 per cell]
V2 0.300 0.527 0.768 [4 per cell]
Ge1 0.220 0.250 0.439 [2 per cell]
W1 0.233 0.750 0.250 [2 per cell]

crystal system = monoclinic
total magnetic moment = 0.00 μB/atom
density = 9.2 g/cm³
Fermi-level density of states = 9.6 states/eV per cell

Computed energies relative to the best structure, in meV per atom: w) 1021; x) 0

w) A relaxed structure of V4Ge2W, computed with PBE.

Cell: 4.488 4.488 13.305 Å, 90.00 90.00 90.00°
Space group I4/mmm (No. 139)
Asymmetric unit:
V1 0.000 0.000 0.183 [4 per cell]
V2 0.000 0.500 0.000 [4 per cell]
Ge1 0.000 0.000 0.373 [4 per cell]
W1 0.000 0.000 0.000 [2 per cell]

crystal system = tetragonal
total magnetic moment = 0.46 μB/atom
density = 6.6 g/cm³
Fermi-level density of states = 14.3 states/eV per cell

x) A relaxed structure of V4Ge2W, computed with PBE.

Cell: 5.287 6.797 6.843 Å, 112.26 106.90 104.13°
Space group P1 (No. 1)
Asymmetric unit:
V1 0.000 0.000 0.000 [1 per cell]
V2 0.079 0.282 0.447 [1 per cell]
V3 0.196 0.603 0.879 [1 per cell]
V4 0.322 0.132 0.730 [1 per cell]
V5 0.578 0.301 0.459 [1 per cell]
V6 0.683 0.577 0.875 [1 per cell]
V7 0.765 0.864 0.304 [1 per cell]
V8 0.885 0.432 0.148 [1 per cell]
Ge1 0.434 0.688 0.578 [1 per cell]
Ge2 0.537 0.041 0.069 [1 per cell]
Ge3 0.853 0.191 0.735 [1 per cell]
Ge4 0.936 0.697 0.571 [1 per cell]
W1 0.256 0.869 0.305 [1 per cell]
W2 0.385 0.428 0.149 [1 per cell]

crystal system = triclinic
total magnetic moment = 0.00 μB/atom
density = 8.9 g/cm³
Fermi-level density of states = 8.8 states/eV per cell

Computed energies relative to the best structure, in meV per atom: w) 1113; x) 0

w) A relaxed structure of V2ZnGe2, computed with PBE.

Cell: 6.832 6.832 3.274 Å, 90.00 90.00 90.00°
Space group P4/mbm (No. 127)
Asymmetric unit:
V1 0.126 0.374 0.000 [4 per cell]
Zn1 0.000 0.000 0.000 [2 per cell]
Ge1 0.169 0.669 0.500 [4 per cell]

crystal system = tetragonal
total magnetic moment = 0.00 μB/atom
density = 6.8 g/cm³
Fermi-level density of states = 5.7 states/eV per cell

x) A relaxed structure of V2ZnGe2, computed with PBE.

Cell: 6.621 6.621 3.362 Å, 90.00 90.00 90.00°
Space group P4/mbm (No. 127)
Asymmetric unit:
V1 0.158 0.342 0.000 [4 per cell]
Zn1 0.000 0.000 0.500 [2 per cell]
Ge1 0.139 0.639 0.500 [4 per cell]

crystal system = tetragonal
total magnetic moment = 0.00 μB/atom
density = 7.0 g/cm³
Fermi-level density of states = 9.4 states/eV per cell

Computed energies relative to the best structure, in meV per atom: w) 0; x) 7

w) A relaxed structure of VZnGe3, computed with PBE.

Cell: 4.787 4.787 4.787 Å, 90.00 90.00 90.00°
Space group Pm-3m (No. 221)
Asymmetric unit:
V1 0.000 0.000 0.000 [1 per cell]
Zn1 0.500 0.500 0.500 [1 per cell]
Ge1 0.000 0.500 0.500 [3 per cell]

crystal system = cubic
total magnetic moment = 0.68 μB/atom
density = 5.1 g/cm³
Fermi-level density of states = 8.6 states/eV per cell

x) A relaxed structure of VZnGe3, computed with PBE.

Cell: 4.781 4.781 4.781 Å, 90.00 90.00 90.00°
Space group Pm-3m (No. 221)
Asymmetric unit:
V1 0.000 0.000 0.000 [1 per cell]
Zn1 0.500 0.500 0.500 [1 per cell]
Ge1 0.000 0.000 0.500 [3 per cell]

crystal system = cubic
total magnetic moment = 0.00 μB/atom
density = 5.1 g/cm³
Fermi-level density of states = 3.9 states/eV per cell

Computed energies relative to the best structure, in meV per atom: w) 602; x) 0

w) A relaxed structure of ZrVGe2, computed with PBE.

Cell: 4.1618 4.1618 13.9879 Å, 90.00 90.00 120.00°
Space group R-3m (No. 166, hexagonal axes)
Asymmetric unit:
Zr1 0.0000 0.0000 0.0000 [3 per cell]
V1 0.0000 0.0000 0.5000 [3 per cell]
Ge1 0.0000 0.0000 0.2333 [6 per cell]

crystal system = trigonal
total magnetic moment = 0.33 μB/atom
density = 6.8 g/cm³
Fermi-level density of states = 7.3 states/eV per cell

x) A relaxed structure of ZrVGe2, computed with PBE.

Cell: 6.509 6.509 6.509 Å, 90.00 90.00 90.00°
Space group Fm-3m (No. 225)
Asymmetric unit:
Zr1 0.000 0.000 0.000 [4 per cell]
V1 0.000 0.000 0.500 [4 per cell]
Ge1 0.250 0.250 0.250 [8 per cell]

crystal system = cubic
total magnetic moment = 0.38 μB/atom
density = 6.9 g/cm³
Fermi-level density of states = 16.9 states/eV per cell

Computed energies relative to the best structure, in meV per atom: w) 0; x) 186

w) A relaxed structure of ZrVGe2, computed with PBE.

Cell: 3.981 3.981 18.731 Å, 90.00 90.00 90.00°
Space group I-42d (No. 122)
Asymmetric unit:
Zr1 0.000 0.000 0.000 [4 per cell]
V1 0.000 0.000 0.500 [4 per cell]
Ge1 0.214 0.250 0.625 [8 per cell]

crystal system = tetragonal
total magnetic moment = 0.03 μB/atom
density = 6.4 g/cm³
Fermi-level density of states = 13.4 states/eV per cell

x) A relaxed structure of ZrVGe2, computed with PBE.

Cell: 3.027 3.723 6.205 Å, 90.00 103.85 90.00°
Space group P2/m (No. 10)
Asymmetric unit:
Zr1 0.000 0.000 0.000 [1 per cell]
V1 0.000 0.000 0.500 [1 per cell]
Ge1 0.492 0.500 0.721 [2 per cell]

crystal system = monoclinic
total magnetic moment = 0.00 μB/atom
density = 7.0 g/cm³
Fermi-level density of states = 2.8 states/eV per cell

Computed energies relative to the best structure, in meV per atom: w) 429; x) 0

w) A relaxed structure of Zr2VGe2, computed with PBE.

Cell: 3.646 15.219 7.150 Å, 90.00 90.00 90.00°
Space group Cmc2_1 (No. 36)
Asymmetric unit:
Zr1 0.000 0.036 0.000 [4 per cell]
Zr2 0.000 0.198 0.608 [4 per cell]
V1 0.000 0.405 0.847 [4 per cell]
Ge1 0.000 0.185 0.222 [4 per cell]
Ge2 0.000 0.436 0.205 [4 per cell]

crystal system = orthorhombic
total magnetic moment = 0.00 μB/atom
density = 6.3 g/cm³
Fermi-level density of states = 13.9 states/eV per cell

x) A relaxed structure of Zr2VGe2, computed with PBE.

Cell: 6.808 6.808 3.867 Å, 90.00 90.00 90.00°
Space group P4/mbm (No. 127)
Asymmetric unit:
Zr1 0.173 0.327 0.000 [4 per cell]
V1 0.000 0.000 0.500 [2 per cell]
Ge1 0.134 0.634 0.500 [4 per cell]

crystal system = tetragonal
total magnetic moment = 0.00 μB/atom
density = 7.0 g/cm³
Fermi-level density of states = 7.9 states/eV per cell

Computed energies relative to the best structure, in meV per atom: w) 227; x) 0

w) A relaxed structure of Zr2V2Ge, computed with PBE.

Cell: 4.020 4.020 12.080 Å, 90.00 90.00 90.00°
Space group I4/mmm (No. 139)
Asymmetric unit:
Zr1 0.000 0.500 0.250 [4 per cell]
V1 0.000 0.000 0.080 [4 per cell]
Ge1 0.000 0.000 0.500 [2 per cell]

crystal system = tetragonal
total magnetic moment = 0.37 μB/atom
density = 6.1 g/cm³
Fermi-level density of states = 12.2 states/eV per cell

x) A relaxed structure of Zr2V2Ge, computed with PBE.

Cell: 6.654 6.654 4.034 Å, 90.00 90.00 90.00°
Space group P4/mbm (No. 127)
Asymmetric unit:
Zr1 0.177 0.323 0.000 [4 per cell]
V1 0.123 0.623 0.500 [4 per cell]
Ge1 0.000 0.000 0.500 [2 per cell]

crystal system = tetragonal
total magnetic moment = 0.00 μB/atom
density = 6.6 g/cm³
Fermi-level density of states = 7.8 states/eV per cell

Computed energies relative to the best structure, in meV per atom: w) 793; x) 0

w) A relaxed structure of ZrV3Ge, computed with PBE.

Cell: 4.628 4.628 4.628 Å, 90.00 90.00 90.00°
Space group Pm-3m (No. 221)
Asymmetric unit:
Zr1 0.000 0.000 0.000 [1 per cell]
V1 0.000 0.000 0.500 [3 per cell]
Ge1 0.500 0.500 0.500 [1 per cell]

crystal system = cubic
total magnetic moment = 0.00 μB/atom
density = 5.3 g/cm³
Fermi-level density of states = 7.9 states/eV per cell

x) A relaxed structure of ZrV3Ge, computed with PBE.

Cell: 4.528 4.528 4.528 Å, 90.00 90.00 90.00°
Space group Pm-3m (No. 221)
Asymmetric unit:
Zr1 0.000 0.000 0.000 [1 per cell]
V1 0.000 0.500 0.500 [3 per cell]
Ge1 0.500 0.500 0.500 [1 per cell]

crystal system = cubic
total magnetic moment = 0.05 μB/atom
density = 5.7 g/cm³
Fermi-level density of states = 6.4 states/eV per cell

Computed energies relative to the best structure, in meV per atom: w) 977; x) 0

w) A relaxed structure of ZrV2Ge2, computed with PBE.

Cell: 6.953 6.953 3.303 Å, 90.00 90.00 90.00°
Space group P4/mbm (No. 127)
Asymmetric unit:
Zr1 0.000 0.000 0.000 [2 per cell]
V1 0.164 0.336 0.500 [4 per cell]
Ge1 0.132 0.632 0.000 [4 per cell]

crystal system = tetragonal
total magnetic moment = 0.00 μB/atom
density = 7.0 g/cm³
Fermi-level density of states = 5.8 states/eV per cell

x) A relaxed structure of ZrV2Ge2, computed with PBE.

Cell: 7.483 7.483 2.840 Å, 90.00 90.00 90.00°
Space group P4/mbm (No. 127)
Asymmetric unit:
Zr1 0.000 0.000 0.000 [2 per cell]
V1 0.116 0.384 0.000 [4 per cell]
Ge1 0.178 0.678 0.500 [4 per cell]

crystal system = tetragonal
total magnetic moment = 0.00 μB/atom
density = 7.1 g/cm³
Fermi-level density of states = 11.1 states/eV per cell

y) A relaxed structure of ZrV2Ge2, computed with PBE.

Cell: 4.550 4.550 8.188 Å, 90.00 90.00 90.00°
Space group I4/mmm (No. 139)
Asymmetric unit:
Zr1 0.000 0.000 0.000 [2 per cell]
V1 0.000 0.000 0.383 [4 per cell]
Ge1 0.000 0.500 0.250 [4 per cell]

crystal system = tetragonal
total magnetic moment = 0.00 μB/atom
density = 6.6 g/cm³
Fermi-level density of states = 6.2 states/eV per cell

Computed energies relative to the best structure, in meV per atom: w) 0; x) 192; y) 300

w) A relaxed structure of Zr3GeW, computed with PBE.

Cell: 4.925 4.925 4.925 Å, 90.00 90.00 90.00°
Space group Pm-3m (No. 221)
Asymmetric unit:
Zr1 0.000 0.000 0.500 [3 per cell]
Ge1 0.000 0.000 0.000 [1 per cell]
W1 0.500 0.500 0.500 [1 per cell]

crystal system = cubic
total magnetic moment = 0.00 μB/atom
density = 7.4 g/cm³
Fermi-level density of states = 3.4 states/eV per cell

x) A relaxed structure of Zr3GeW, computed with PBE.

Cell: 5.068 5.068 5.068 Å, 90.00 90.00 90.00°
Space group Pm-3m (No. 221)
Asymmetric unit:
Zr1 0.000 0.000 0.500 [3 per cell]
Ge1 0.500 0.500 0.500 [1 per cell]
W1 0.000 0.000 0.000 [1 per cell]

crystal system = cubic
total magnetic moment = 0.30 μB/atom
density = 6.8 g/cm³
Fermi-level density of states = 7.2 states/eV per cell

Computed energies relative to the best structure, in meV per atom: w) 0; x) 29

w) A relaxed structure of YZn3Ge, computed with PBE.

Cell: 5.400 5.400 5.400 Å, 90.00 90.00 90.00°
Space group Pm-3m (No. 221)
Asymmetric unit:
Y1 0.000 0.000 0.000 [1 per cell]
Zn1 0.000 0.000 0.500 [3 per cell]
Ge1 0.500 0.500 0.500 [1 per cell]

crystal system = cubic
total magnetic moment = 0.00 μB/atom
density = 3.8 g/cm³
Fermi-level density of states = 4.6 states/eV per cell

x) A relaxed structure of YZn3Ge, computed with PBE.

Cell: 4.804 4.804 4.804 Å, 90.00 90.00 90.00°
Space group Pm-3m (No. 221)
Asymmetric unit:
Y1 0.000 0.000 0.000 [1 per cell]
Zn1 0.000 0.500 0.500 [3 per cell]
Ge1 0.500 0.500 0.500 [1 per cell]

crystal system = cubic
total magnetic moment = 0.00 μB/atom
density = 5.4 g/cm³
Fermi-level density of states = 2.5 states/eV per cell

Computed energies relative to the best structure, in meV per atom: w) 842; x) 0